1.
The following is a GGA-PBEsol calculation of crystalline KCuMo2 at its relaxed geometry, from the Alexandria database.

Cell and atoms, written as CIF:
```
data_KCuMo2
_chemical_formula_sum 'K1 Cu1 Mo2'
_space_group_name_H-M_alt 'P 1'
_space_group_IT_number 1
_cell_length_a 2.601
_cell_length_b 2.601
_cell_length_c 10.434
_cell_angle_alpha 90.00
_cell_angle_beta 90.00
_cell_angle_gamma 103.74
loop_
_space_group_symop_operation_xyz
'x,y,z'
loop_
_atom_site_label
_atom_site_fract_x
_atom_site_fract_y
_atom_site_fract_z
K1 0.500 0.500 0.000
Mo1 0.000 0.000 0.701
Mo2 0.000 0.000 0.299
Cu1 0.500 0.500 0.500
```

Values from the calculation:
Formation energy in meV per atom: 930
Spin magnetization in μB/cell: 0.0
Calculated volume in Å³ per atom: 17.1
Symmetry: Cmmm



2.
The following is a GGA-PBEsol calculation of crystalline TaNi2TeSe at its relaxed geometry, from the Alexandria database.

Cell and atoms, written as CIF:
```
data_TaNi2TeSe
_chemical_formula_sum 'Ta4 Ni8 Te4 Se4'
_space_group_name_H-M_alt 'P 1'
_space_group_IT_number 1
_cell_length_a 3.472
_cell_length_b 6.375
_cell_length_c 16.361
_cell_angle_alpha 90.00
_cell_angle_beta 90.00
_cell_angle_gamma 90.00
loop_
_space_group_symop_operation_xyz
'x,y,z'
loop_
_atom_site_label
_atom_site_fract_x
_atom_site_fract_y
_atom_site_fract_z
Ni1 0.750 0.604 0.319
Ni2 0.250 0.396 0.681
Se1 0.750 0.409 0.099
Ni3 0.250 0.785 0.679
Ni4 0.750 0.104 0.181
Te1 0.750 0.090 0.903
Ta1 0.750 0.091 0.722
Te2 0.250 0.410 0.403
Ta2 0.250 0.409 0.222
Ta3 0.750 0.591 0.778
Te3 0.250 0.910 0.097
Ni5 0.750 0.715 0.179
Ta4 0.250 0.909 0.278
Ni6 0.250 0.285 0.821
Se2 0.750 0.909 0.401
Se3 0.250 0.091 0.599
Ni7 0.750 0.215 0.321
Se4 0.250 0.591 0.901
Ni8 0.250 0.896 0.819
Te4 0.750 0.590 0.597
```

Values from the calculation:
Spin magnetization in μB/cell: 0.0
Calculated volume in Å³ per atom: 18.1
Symmetry: Pnma



3.
The following is a GGA-PBEsol calculation of crystalline BaHgTeN2 at its relaxed geometry, from the Alexandria database.

Cell and atoms, written as CIF:
```
data_BaHgTeN2
_chemical_formula_sum 'Ba1 Hg1 Te1 N2'
_space_group_name_H-M_alt 'P 1'
_space_group_IT_number 1
_cell_length_a 4.672
_cell_length_b 4.672
_cell_length_c 5.578
_cell_angle_alpha 90.00
_cell_angle_beta 90.00
_cell_angle_gamma 90.00
loop_
_space_group_symop_operation_xyz
'x,y,z'
loop_
_atom_site_label
_atom_site_fract_x
_atom_site_fract_y
_atom_site_fract_z
Ba1 0.500 0.500 0.500
Hg1 0.000 0.000 0.000
N1 0.000 0.500 0.000
N2 0.500 0.000 0.000
Te1 0.000 0.000 0.500
```

Values from the calculation:
Spin magnetization in μB/cell: 3.0
Calculated volume in Å³ per atom: 24.4
Symmetry: P4/mmm



4.
The following is a GGA-PBEsol calculation of crystalline InS2Br at its relaxed geometry, from the Alexandria database.

Cell and atoms, written as CIF:
```
data_InS2Br
_chemical_formula_sum 'In2 S4 Br2'
_space_group_name_H-M_alt 'P 1'
_space_group_IT_number 1
_cell_length_a 6.915
_cell_length_b 6.505
_cell_length_c 6.915
_cell_angle_alpha 57.89
_cell_angle_beta 90.00
_cell_angle_gamma 122.11
loop_
_space_group_symop_operation_xyz
'x,y,z'
loop_
_atom_site_label
_atom_site_fract_x
_atom_site_fract_y
_atom_site_fract_z
Br1 0.500 0.000 0.500
S1 0.375 0.250 0.082
In1 0.750 0.500 0.750
Br2 0.250 0.500 0.250
S2 0.082 0.750 0.875
S3 0.668 0.750 0.375
S4 0.875 0.250 0.668
In2 0.000 0.000 0.000
```

Values from the calculation:
Spin magnetization in μB/cell: 0.0
Calculated volume in Å³ per atom: 25.6
Symmetry: I-42d



5.
The following is a GGA-PBEsol calculation of crystalline Li6Mn3Cr2Fe3O16 at its relaxed geometry, from the Alexandria database.

Cell and atoms, written as CIF:
```
data_Li6Mn3Cr2Fe3O16
_chemical_formula_sum 'Li6 Mn3 Cr2 Fe3 O16'
_space_group_name_H-M_alt 'P 1'
_space_group_IT_number 1
_cell_length_a 5.572
_cell_length_b 5.573
_cell_length_c 9.252
_cell_angle_alpha 89.72
_cell_angle_beta 89.72
_cell_angle_gamma 60.01
loop_
_space_group_symop_operation_xyz
'x,y,z'
loop_
_atom_site_label
_atom_site_fract_x
_atom_site_fract_y
_atom_site_fract_z
Li1 0.168 0.168 0.446
O1 0.161 0.677 0.095
Fe1 0.826 0.345 0.214
Li2 0.170 0.662 0.445
O2 0.320 0.840 0.595
O3 0.000 0.000 0.320
Cr1 0.666 0.666 0.489
O4 0.336 0.336 0.598
O5 0.677 0.161 0.095
O6 0.840 0.320 0.595
Mn1 0.168 0.661 0.714
O7 0.159 0.159 0.097
O8 0.486 0.030 0.842
Li3 0.662 0.170 0.445
Mn2 0.662 0.168 0.714
O9 0.669 0.669 0.096
Li4 0.338 0.831 0.948
Fe2 0.171 0.171 0.714
O10 0.517 0.970 0.342
Li5 0.830 0.830 0.947
O11 0.484 0.484 0.841
O12 0.970 0.517 0.342
O13 0.839 0.839 0.594
Fe3 0.345 0.826 0.214
Cr2 0.332 0.332 0.991
Li6 0.831 0.338 0.948
O14 0.516 0.516 0.342
O15 0.000 0.000 0.823
O16 0.030 0.486 0.842
Mn3 0.830 0.830 0.214
```

Values from the calculation:
Spin magnetization in μB/cell: 17.1
Calculated volume in Å³ per atom: 8.3
Symmetry: Cm



6.
The following is a GGA-PBEsol calculation of crystalline MnPO4 at its relaxed geometry, from the Alexandria database.

Cell and atoms, written as CIF:
```
data_MnPO4
_chemical_formula_sum 'Mn3 P3 O12'
_space_group_name_H-M_alt 'P 1'
_space_group_IT_number 1
_cell_length_a 4.978
_cell_length_b 4.978
_cell_length_c 11.470
_cell_angle_alpha 90.00
_cell_angle_beta 90.00
_cell_angle_gamma 120.00
loop_
_space_group_symop_operation_xyz
'x,y,z'
loop_
_atom_site_label
_atom_site_fract_x
_atom_site_fract_y
_atom_site_fract_z
O1 0.448 0.342 0.564
P1 0.573 0.573 0.667
O2 0.729 0.114 0.374
O3 0.271 0.385 0.292
O4 0.107 0.658 0.436
Mn1 0.556 0.556 0.167
O5 0.658 0.107 0.897
O6 0.615 0.886 0.626
Mn2 0.000 0.444 0.833
P2 0.000 0.427 0.333
O7 0.886 0.615 0.708
O8 0.552 0.893 0.103
O9 0.893 0.552 0.230
P3 0.427 0.000 0.000
O10 0.342 0.448 0.770
O11 0.114 0.729 0.959
O12 0.385 0.271 0.041
Mn3 0.444 0.000 0.500
```

Values from the calculation:
Spin magnetization in μB/cell: 12.0
Calculated volume in Å³ per atom: 13.7
Symmetry: P3_121



The calculation returns the following raw total energy values, one per record and in order: -25.3 -138.9 -18.5 -26.4 -225.1 -142.9 eV for the cell shown.